Entry one
VASP calculation (PBE) on Y3AlC3 after structural relaxation.

## Properties
* magnetization: 0.000 μB per atom
* calculated volume: 253.43 Å³/cell
* space-group type: No. 51
* crystal system: orthorhombic

a b c (Å): 3.5813 7.0774 9.9988
angles (deg): 90.00 90.00 90.00
Fractional coordinates of all 14 atoms:
Al 0.0000 0.2500 0.9938
Al 0.0000 0.7500 0.0062
C 0.5000 0.0083 0.4341
C 0.5000 0.5083 0.5659
C 0.0000 0.7500 0.2082
C 0.0000 0.2500 0.7918
C 0.5000 0.4917 0.4341
C 0.5000 0.9917 0.5659
Y 0.5000 0.9906 0.1989
Y 0.0000 0.2500 0.5433
Y 0.0000 0.7500 0.4567
Y 0.5000 0.0094 0.8011
Y 0.5000 0.5094 0.1989
Y 0.5000 0.4906 0.8011

***

Entry two
VASP calculation (PBE) on Y3AlC3 after structural relaxation.

## Properties
* magnetization: 0.036 μB per atom
* calculated volume: 238.59 Å³/cell
* space-group type: No. 63
* crystal system: orthorhombic

a b c (Å): 5.1111 6.8802 6.8808
angles (deg): 99.57 90.00 90.00
Fractional coordinates of all 14 atoms:
C 0.2500 0.1160 0.8839
C 0.7500 0.8396 0.5889
C 0.7500 0.8840 0.1161
C 0.2500 0.1604 0.4111
C 0.2500 0.5889 0.8398
C 0.7500 0.4111 0.1602
Y 0.7500 0.1075 0.8925
Y 0.2500 0.8529 0.6090
Y 0.7500 0.1471 0.3910
Y 0.7500 0.6090 0.8530
Y 0.2500 0.8925 0.1075
Y 0.2500 0.3910 0.1470
Al 0.2500 0.3117 0.6884
Al 0.7500 0.6883 0.3116

***

Of the structures shown above, entry one is the most stable.